1.
# LaYW2

An optimized crystal structure of LaYW2 (PBEsol, Alexandria).

Structure (POSCAR):
```
LaYW2
1.0
2.878 0.000 0.000
0.000 4.931 0.000
0.000 0.000 6.217
La W Y
1 2 1
Direct
0.500 0.500 0.500
0.000 0.000 0.798
0.000 0.000 0.202
0.500 0.500 0.000
```

Summary:
- Fermi-level density of states: 0.94 states/eV/atom
- Energy of formation from the pure elements: 783 meV/atom
- Space group: Pmmm (47)
- Size of the total moment: 0.0 μB/cell

***

2.
# NiHgP2

An optimized crystal structure of NiHgP2 (PBEsol, Alexandria).

Structure (POSCAR):
```
NiHgP2
1.0
2.956 0.000 0.000
0.000 2.956 0.000
0.000 0.000 7.846
Hg Ni P
1 1 2
Direct
0.500 0.500 0.000
0.500 0.500 0.500
0.000 0.000 0.649
0.000 0.000 0.351
```

Summary:
- Fermi-level density of states: 0.60 states/eV/atom
- Energy of formation from the pure elements: 83 meV/atom
- Space group: P4/mmm (123)
- Size of the total moment: 0.0 μB/cell

***

3.
# BeSb2As

An optimized crystal structure of BeSb2As (PBEsol, Alexandria).

Structure (POSCAR):
```
BeSb2As
1.0
-1.134 -0.049 3.686
3.232 -2.697 2.976
3.021 2.921 2.986
Sb As Be
2 1 1
Direct
0.287 0.713 0.713
0.713 0.287 0.287
0.500 0.000 0.000
0.000 0.500 0.500
```

Summary:
- Fermi-level density of states: 0.48 states/eV/atom
- Space group: Immm (71)
- ΔE_f (raw): 0.46 eV per atom
- Size of the total moment: 0.0 μB/cell

***

4.
# CePd7

An optimized crystal structure of CePd7 (PBEsol, Alexandria).

Structure (POSCAR):
```
CePd7
1.0
-3.154 -1.138 4.498
-4.998 -2.471 -0.630
-0.729 -5.315 1.643
Ce Pd
1 7
Direct
0.000 0.000 0.000
0.500 0.000 0.000
0.000 0.500 0.500
0.500 0.000 0.500
0.000 0.500 0.000
0.500 0.500 0.000
0.000 0.000 0.500
0.500 0.500 0.500
```

Summary:
- Fermi-level density of states: 0.77 states/eV/atom
- Energy of formation from the pure elements: -465 meV/atom
- Space group: Fm-3m (225)
- Size of the total moment: 0.0 μB/cell

***

5.
# CsLiTa2I

An optimized crystal structure of CsLiTa2I (PBEsol, Alexandria).

Structure (POSCAR):
```
CsLiTa2I
1.0
5.125 0.000 0.000
0.000 5.125 0.000
0.000 0.000 6.745
Cs I Li Ta
1 1 1 2
Direct
0.000 0.000 0.000
0.000 0.000 0.500
0.500 0.500 0.500
0.000 0.500 0.000
0.500 0.000 0.000
```

Summary:
- Fermi-level density of states: 1.33 states/eV/atom
- Space group: P4/mmm (123)
- ΔE_f (raw): 2.53 eV per atom
- Size of the total moment: 1.4 μB/cell

***

6.
# GaPdOF2

An optimized crystal structure of GaPdOF2 (PBEsol, Alexandria).

Structure (POSCAR):
```
GaPdOF2
1.0
-0.517 -2.770 2.558
2.588 -2.558 -2.247
3.355 1.434 2.231
O Ga Pd F
1 1 1 2
Direct
0.500 0.000 0.000
0.500 0.500 0.500
0.000 0.000 0.000
0.000 0.000 0.500
0.000 0.500 0.000
```

Summary:
- Fermi-level density of states: 0.58 states/eV/atom
- Space group: P4/mmm (123)
- ΔE_f (raw): -0.87 eV per atom
- Size of the total moment: 0.5 μB/cell